## LiAc2CdSn6 (PBE)

Data for an optimized crystal structure of LiAc2CdSn6.

Cell: 7.891 7.352 10.052 Å, 90.00 90.00 90.00°
Fractional coordinates of all 20 atoms:
Sn  0.309  0.029  0.000
Sn  0.500  0.208  0.751
Sn  0.306  0.398  0.500
Sn  0.000  0.792  0.749
Sn  0.000  0.792  0.251
Sn  0.691  0.029  0.000
Sn  0.500  0.208  0.249
Sn  0.809  0.971  0.500
Sn  0.194  0.602  0.000
Sn  0.806  0.602  0.000
Sn  0.694  0.398  0.500
Sn  0.191  0.971  0.500
Li  0.500  0.074  0.500
Li  0.000  0.926  0.000
Ac  0.000  0.277  0.764
Ac  0.500  0.723  0.736
Ac  0.000  0.277  0.236
Ac  0.500  0.723  0.264
Cd  0.000  0.593  0.500
Cd  0.500  0.407  0.000

Calculated values
ρ ... 7.322 g/cm³
Calculated formation energy ... -0.29 eV per atom
E_tot ... -3.801 eV per atom

=====

## CuHg2As (PBE)

Data for an optimized crystal structure of CuHg2As.

Cell: 4.468 4.407 4.403 Å, 81.69 90.00 90.00°
Fractional coordinates of all 4 atoms:
Cu  0.500  0.750  0.750
As  0.500  0.250  0.250
Hg  0.000  0.981  0.981
Hg  0.000  0.519  0.519

Calculated values
ρ ... 10.445 g/cm³
Calculated formation energy ... 0.30 eV per atom
E_tot ... -2.033 eV per atom

=====

- Which of these has the highest ρ?
  CuHg2As

=====

- Look up the ρ of the first one.
  7.322 g/cm³

=====

- Which of these has the highest E_tot?
  CuHg2As

=====

- The lowest E_tot belongs to which entry?
  LiAc2CdSn6